Here is crystalline Pm2DyCu2Ge2 at its relaxed geometry from Alexandria via LeMat-Bulk. Energies are from PBE-GGA.

Values from the calculation:
DFT total energy, Ha/atom: -0.18413

Unit cell a=10.5329 b=10.5329 c=10.5329 alpha=23.26 beta=23.26 gamma=23.26
Last column: nearest neighbours and their distance in Å.
Positions (direct):
Pm: 0.1209 0.1209 0.1209  3 Ge 3.07, 3 Cu 3.15
Pm: 0.8791 0.8791 0.8791  3 Ge 3.07, 3 Cu 3.15
Dy: 0.0000 0.0000 0.0000  6 Cu 3.01, 6 Ge 3.08
Cu: 0.3899 0.3899 0.3899  3 Ge 2.46
Cu: 0.6101 0.6101 0.6101  3 Ge 2.46
Ge: 0.2726 0.2726 0.2726  3 Cu 2.46
Ge: 0.7274 0.7274 0.7274  3 Cu 2.46